## YAsP2 (PBE)

Data for a relaxed structure of YAsP2.

E_tot in eV per atom: -6.0040
Space group: No. 166

Lattice parameters (Å, degrees): 6.8257 6.8257 6.8257 32.87 32.87 32.87
Fractional coordinates of all 4 atoms:
Y 0.0000 0.0000 0.0000
As 0.5000 0.5000 0.5000
P 0.2434 0.2434 0.2434
P 0.7566 0.7566 0.7566